<P>
## CaLaTbMg (PBE)

Data for a relaxed CaLaTbMg crystal.

Results
**Space group**: F-43m
**Size of the total moment**: 0.000 μB per formula unit

abc: 5.7012 5.7012 5.7012
angles: 60.00 60.00 60.00
With the nearest neighbours (Å) after each atom.
Sites, in units of the cell vectors:
Ca1 0.0000 0.0000 0.0000  4 La 3.49, 4 Tb 3.49
La1 0.7500 0.7500 0.7500  4 Mg 3.49, 4 Ca 3.49
Tb1 0.2500 0.2500 0.2500  4 Ca 3.49, 4 Mg 3.49
Mg1 0.5000 0.5000 0.5000  4 Tb 3.49, 4 La 3.49


<Q>
## CaLaTbMg (PBE)

Data for a relaxed CaLaTbMg crystal.

Results
**Space group**: P4mm
**Size of the total moment**: 0.001 μB per formula unit

abc: 3.6814 3.6814 9.8297
angles: 90.00 90.00 90.00
With the nearest neighbours (Å) after each atom.
Sites, in units of the cell vectors:
Ca1 0.0000 0.0000 0.0000  4 Mg 3.46, 4 Ca 3.68
La1 0.5000 0.5000 0.6973  4 Tb 3.60, 4 La 3.68, 4 Ca 3.95
Tb1 0.0000 0.0000 0.4447  4 Mg 3.34, 4 La 3.60, 4 Tb 3.68
Mg1 0.5000 0.5000 0.2316  4 Tb 3.34, 4 Ca 3.46, 4 Mg 3.68


Most favorable structure: <Q>. The second most favorable one is 62 meV/atom above it.